Record 1
The following is a PBE-GGA calculation of a geometry-optimized PrEuAsCl structure, from the Alexandria database.

The structure belongs to space group F-43m (No. 216); the cell edges are 7.364, 7.364 and 7.364 Å and the angles 90.00°, 90.00° and 90.00°. The inequivalent atoms are Pr at (0.000, 0.000, 0.000), Eu at (0.000, 0.000, 0.500), As at (0.250, 0.250, 0.750) and Cl at (0.250, 0.250, 0.250).

The calculation puts the calculated volume at 25.0 A^3/atom.

***

Record 2
The following is a PBE-GGA calculation of a geometry-optimized AsCl2F structure, from the Alexandria database.

The structure belongs to space group Fm-3m (No. 225); the cell edges are 6.325, 6.325 and 6.325 Å and the angles 90.00°, 90.00° and 90.00°. The inequivalent atoms are As at (0.000, 0.000, 0.000), Cl at (0.250, 0.250, 0.250) and F at (0.000, 0.000, 0.500).

Its energy above the most stable polymorph in this dataset is 876.7 meV/atom. The calculation puts the calculated volume at 15.8 A^3/atom.

***

Record 3
The following is a PBE-GGA calculation of a geometry-optimized As3ClF structure, from the Alexandria database.

The structure belongs to space group Pm-3m (No. 221); the cell edges are 4.869, 4.869 and 4.869 Å and the angles 90.00°, 90.00° and 90.00°. The inequivalent atoms are As at (0.000, 0.000, 0.500), Cl at (0.000, 0.000, 0.000) and F at (0.500, 0.500, 0.500).

Its energy above the most stable polymorph in this dataset is 404.6 meV/atom. The calculation puts the calculated volume at 23.1 A^3/atom.

***

Record 4
The following is a PBE-GGA calculation of a geometry-optimized AsCl3F structure, from the Alexandria database.

The structure belongs to space group Pm-3m (No. 221); the cell edges are 4.898, 4.898 and 4.898 Å and the angles 90.00°, 90.00° and 90.00°. The inequivalent atoms are As at (0.000, 0.000, 0.000), Cl at (0.000, 0.000, 0.500) and F at (0.500, 0.500, 0.500).

Its energy above the most stable polymorph in this dataset is 511.7 meV/atom. The calculation puts the calculated volume at 23.5 A^3/atom.

***

Record 5
The following is a PBE-GGA calculation of a geometry-optimized AsCl3F structure, from the Alexandria database.

The structure belongs to space group Pm-3m (No. 221); the cell edges are 4.674, 4.674 and 4.674 Å and the angles 90.00°, 90.00° and 90.00°. The inequivalent atoms are As at (0.000, 0.000, 0.000), Cl at (0.000, 0.500, 0.500) and F at (0.500, 0.500, 0.500).

Its energy above the most stable polymorph in this dataset is 1354.3 meV/atom. The calculation puts the calculated volume at 20.4 A^3/atom.

***

Record 6
The following is a PBE-GGA calculation of a geometry-optimized As3ClF structure, from the Alexandria database.

The structure belongs to space group Pm-3m (No. 221); the cell edges are 4.669, 4.669 and 4.669 Å and the angles 90.00°, 90.00° and 90.00°. The inequivalent atoms are As at (0.000, 0.000, 0.500), Cl at (0.500, 0.500, 0.500) and F at (0.000, 0.000, 0.000).

Its energy above the most stable polymorph in this dataset is 0.0 meV/atom. The calculation puts the calculated volume at 20.4 A^3/atom.

***

Record 7
The following is a PBE-GGA calculation of a geometry-optimized AsClF8 structure, from the Alexandria database.

The structure belongs to space group C2/c (No. 15); the cell edges are 8.366, 7.933 and 10.382 Å and the angles 90.00°, 111.31° and 90.00°. The inequivalent atoms are As at (0.000, 0.000, 0.000), Cl at (0.000, 0.326, 0.250), F at (0.035, 0.179, 0.605), F at (0.073, 0.462, 0.169), F at (0.108, 0.129, 0.154) and F at (0.199, 0.032, 0.483).

The calculation puts the calculated volume at 16.0 A^3/atom.

***

Record 8
The following is a PBE-GGA calculation of a geometry-optimized AsCl2F5 structure, from the Alexandria database.

The structure belongs to space group P1 (No. 1); the cell edges are 4.926, 6.217 and 6.575 Å and the angles 84.00°, 74.85° and 71.84°. The inequivalent atoms are As at (0.000, 0.000, 0.000), Cl at (0.257, 0.432, 0.519), Cl at (0.580, 0.558, 0.531), F at (0.020, 0.995, 0.261), F at (0.362, 0.000, 0.915), F at (0.728, 0.255, 0.040), F at (0.927, 0.743, 0.043) and F at (0.976, 0.006, 0.740).

The calculation puts the calculated volume at 23.1 A^3/atom.

***

| no. | formation energy without anion corrections (kJ/mol of atoms) | VASP energy (eV per atom) |
| --- | --- | --- |
| 1 | -134 | -6.7787 |
| 2 | -29 | -2.8587 |
| 3 | 93 | -2.5703 |
| 4 | -22 | -2.6403 |
| 5 | 59 | -1.7977 |
| 6 | 54 | -2.9749 |
| 7 | -146 | -3.6596 |
| 8 | -146 | -3.7269 |